Entry 1:
Ti5Fe2NiRh2: optimized geometry, PBE-GGA.

Cell and atoms, written as extended XYZ:
```
20
Lattice="9.935 0.000 0.000 0.000 9.935 0.000 0.000 0.000 2.964" Properties=species:S:1:pos:R:3 pbc="T T T"
Ti 0.000 4.967 0.000
Ti 0.955 1.882 0.000
Ti 1.882 8.980 0.000
Ti 3.085 4.012 0.000
Ti 4.012 6.850 0.000
Ti 4.967 0.000 0.000
Ti 5.922 3.085 0.000
Ti 6.850 5.922 0.000
Ti 8.052 0.955 0.000
Ti 8.980 8.052 0.000
Fe 1.310 3.658 1.482
Fe 3.658 8.625 1.482
Fe 6.277 1.310 1.482
Fe 8.625 6.277 1.482
Ni 0.000 0.000 1.482
Ni 4.967 4.967 1.482
Rh 1.657 6.624 1.482
Rh 3.310 1.657 1.482
Rh 6.624 8.278 1.482
Rh 8.278 3.310 1.482
```

Summary:
M_tot in μB per formula unit: 0.0
Calculated density in g/cm³: 6.99
Volume in Å³/atom: 14.6
Energy relative to the elements in eV/atom: -0.265

Entry 2:
CaNd2In2: optimized geometry, PBE-GGA.

Cell and atoms, written as extended XYZ:
```
5
Lattice="5.440 0.000 0.000 -2.720 4.711 0.000 0.000 0.000 6.563" Properties=species:S:1:pos:R:3 pbc="T T T"
Ca 0.000 0.000 0.000
Nd 0.000 3.141 4.445
Nd 2.720 1.570 2.118
In 0.000 3.141 1.158
In 2.720 1.570 5.405
```

Summary:
Energy above the lowest structure with this stoichiometry in meV/atom: 131
M_tot in μB per formula unit: 0.0
Calculated density in g/cm³: 5.51
Volume in Å³/atom: 33.6
Energy relative to the elements in eV/atom: -0.264

Entry 3:
Pm3NdIn3: optimized geometry, PBE-GGA.

Cell and atoms, written as extended XYZ:
```
14
Lattice="5.440 -5.470 0.000 5.440 5.470 0.000 0.000 0.000 7.325" Properties=species:S:1:pos:R:3 pbc="T T T"
Pm 2.602 0.000 0.000
Pm 5.440 2.835 0.000
Pm 5.440 2.809 3.663
Pm 5.440 -2.809 3.663
Pm 5.440 -2.835 0.000
Pm 8.278 0.000 0.000
Nd 2.605 0.000 3.663
Nd 8.274 0.000 3.663
In 2.720 2.735 1.816
In 2.720 2.735 5.510
In 2.720 -2.735 1.816
In 2.720 -2.735 5.510
In 5.440 0.000 1.805
In 5.440 0.000 5.520
```

Summary:
Energy above the lowest structure with this stoichiometry in meV/atom: 5
M_tot in μB per formula unit: 0.0
Calculated density in g/cm³: 7.04
Volume in Å³/atom: 31.1
Energy relative to the elements in eV/atom: -0.335

Entry 4:
Ca3Sn5Cl16: optimized geometry, PBE-GGA.

Cell and atoms, written as extended XYZ:
```
24
Lattice="7.355 -4.202 0.000 7.355 4.202 0.000 -0.285 0.000 13.010" Properties=species:S:1:pos:R:3 pbc="T T T"
Ca 0.000 0.000 0.000
Ca 6.138 2.093 6.404
Ca 6.138 -2.093 6.404
Sn 3.448 2.124 12.934
Sn 2.353 0.000 3.393
Sn 7.185 0.000 9.832
Sn 3.448 -2.124 12.934
Sn 9.921 0.000 6.470
Cl -0.083 0.000 5.028
Cl 5.828 2.174 11.605
Cl 2.059 0.000 11.529
Cl 8.608 2.394 1.707
Cl 4.615 0.000 1.671
Cl 8.212 1.914 8.225
Cl 5.104 0.000 7.954
Cl 7.314 0.000 5.032
Cl 11.114 1.956 5.007
Cl 5.828 -2.174 11.605
Cl 9.703 0.000 11.304
Cl 8.212 -1.914 8.225
Cl 12.344 0.000 1.444
Cl 12.364 0.000 7.846
Cl 8.608 -2.394 1.707
Cl 11.114 -1.956 5.007
```

Summary:
E_form (uncorrected) in kJ/mol of formula units: -3506
M_tot in μB per formula unit: 0.0
Calculated density in g/cm³: 2.65
Volume in Å³/atom: 33.5

Entry 5:
Tb2Pm6S3: optimized geometry, PBE-GGA.

Cell and atoms, written as extended XYZ:
```
11
Lattice="1.922 1.110 25.032 -1.922 1.110 25.032 0.000 -2.219 25.032" Properties=species:S:1:pos:R:3 pbc="T T T"
Tb 0.000 0.000 4.308
Tb 0.000 0.000 70.788
Pm 0.000 0.000 10.732
Pm 0.000 0.000 23.580
Pm 0.000 0.000 32.326
Pm 0.000 0.000 42.770
Pm 0.000 0.000 51.516
Pm 0.000 0.000 64.365
S 0.000 0.000 16.009
S 0.000 0.000 37.548
S 0.000 0.000 59.087
```

Summary:
E_form (uncorrected) in kJ/mol of formula units: -1098
M_tot in μB per formula unit: 0.0
Calculated density in g/cm³: 6.66
Volume in Å³/atom: 29.1

Entry 6:
AlTcRu2: optimized geometry, PBE-GGA.

Cell and atoms, written as extended XYZ:
```
4
Lattice="0.000 3.052 3.052 3.052 0.000 3.052 3.052 3.052 0.000" Properties=species:S:1:pos:R:3 pbc="T T T"
Al 0.000 0.000 0.000
Tc 3.052 3.052 3.052
Ru 1.526 1.526 1.526
Ru 4.579 4.579 4.579
```

Summary:
Energy above the lowest structure with this stoichiometry in meV/atom: 158
M_tot in μB per formula unit: 1.6
Calculated density in g/cm³: 9.55
Volume in Å³/atom: 14.2
Energy relative to the elements in eV/atom: -0.147